# 1
# Sc2Si3Pt2

An optimized crystal structure of Sc2Si3Pt2 (PBE-GGA, Alexandria via LeMat-Bulk). Values from VASP.

Summary:
- DOS(E_F): 0.42 states/eV per atom
- Uncorrected energy: -47.8 eV per formula unit
- V: 232.55 Å³/cell

Geometry as Quantum ESPRESSO input:
```
&SYSTEM
  ibrav = 0, nat = 14, ntyp = 3
/
ATOMIC_SPECIES
Sc 44.96 Sc.upf
Si 28.09 Si.upf
Pt 195.08 Pt.upf
CELL_PARAMETERS angstrom
3.8608 0.0000 -0.9205
0.0000 6.8456 0.0000
0.0545 0.0000 8.7859
ATOMIC_POSITIONS crystal
Sc 0.1512 0.2500 0.3024
Sc 0.8488 0.7500 0.6976
Sc 0.9460 0.2500 0.8921
Sc 0.0540 0.7500 0.1079
Si 0.2261 0.7500 0.4523
Si 0.7739 0.2500 0.5477
Si 0.5595 0.4250 0.1190
Si 0.4405 0.5750 0.8810
Si 0.4405 0.9250 0.8810
Si 0.5595 0.0750 0.1190
Pt 0.6896 0.9547 0.3792
Pt 0.3104 0.0453 0.6208
Pt 0.3104 0.4547 0.6208
Pt 0.6896 0.5453 0.3792
```

---

# 2
# Sc2SiPt

An optimized crystal structure of Sc2SiPt (PBE-GGA, Alexandria via LeMat-Bulk). Values from VASP.

Summary:
- DOS(E_F): 0.77 states/eV per atom
- Uncorrected energy: -26.6 eV per formula unit
- V: 79.16 Å³/cell

Geometry as Quantum ESPRESSO input:
```
&SYSTEM
  ibrav = 0, nat = 4, ntyp = 3
/
ATOMIC_SPECIES
Pt 195.08 Pt.upf
Sc 44.96 Sc.upf
Si 28.09 Si.upf
CELL_PARAMETERS angstrom
-2.0292 -2.2538 7.0162
-1.5880 -5.2891 5.2847
1.1992 -3.6082 6.6308
ATOMIC_POSITIONS crystal
Pt 0.7500 0.7500 0.7500
Sc 0.0004 0.0004 0.0004
Sc 0.4996 0.4996 0.4996
Si 0.2500 0.2500 0.2500
```

---

# 3
# Sc3Si6Pt20

An optimized crystal structure of Sc3Si6Pt20 (PBE-GGA, Alexandria via LeMat-Bulk). Values from VASP.

Summary:
- DOS(E_F): 0.65 states/eV per atom
- Uncorrected energy: -194.8 eV per formula unit
- V: 459.58 Å³/cell

Geometry as Quantum ESPRESSO input:
```
&SYSTEM
  ibrav = 0, nat = 29, ntyp = 3
/
ATOMIC_SPECIES
Sc 44.96 Sc.upf
Si 28.09 Si.upf
Pt 195.08 Pt.upf
CELL_PARAMETERS angstrom
-8.5107 0.2931 1.5856
-3.4330 -5.0258 6.1635
-2.9173 3.5395 7.3481
ATOMIC_POSITIONS crystal
Sc 0.7500 0.7500 0.7500
Sc 0.2500 0.2500 0.2500
Sc 0.0000 0.0000 0.0000
Si 0.2694 0.7306 0.7306
Si 0.7306 0.2694 0.2694
Si 0.2694 0.2694 0.7306
Si 0.7306 0.2694 0.7306
Si 0.2694 0.7306 0.2694
Si 0.7306 0.7306 0.2694
Pt 0.3799 0.3799 0.8604
Pt 0.1396 0.6201 0.6201
Pt 0.6574 0.0000 0.0000
Pt 0.6574 0.3426 0.0000
Pt 0.0000 0.0000 0.6574
Pt 0.3799 0.8604 0.3799
Pt 0.0000 0.3426 0.6574
Pt 0.6574 0.0000 0.3426
Pt 0.0000 0.6574 0.0000
Pt 0.0000 0.0000 0.3426
Pt 0.3426 0.0000 0.6574
Pt 0.0000 0.3426 0.0000
Pt 0.3426 0.6574 0.0000
Pt 0.3426 0.0000 0.0000
Pt 0.3799 0.3799 0.3799
Pt 0.6201 0.6201 0.1396
Pt 0.6201 0.6201 0.6201
Pt 0.6201 0.1396 0.6201
Pt 0.8604 0.3799 0.3799
Pt 0.0000 0.6574 0.3426
```

---

# 4
# Sc2SiPt

An optimized crystal structure of Sc2SiPt (PBE-GGA, Alexandria via LeMat-Bulk). Values from VASP.

Summary:
- DOS(E_F): 0.81 states/eV per atom
- Uncorrected energy: -27.6 eV per formula unit
- V: 73.25 Å³/cell

Geometry as Quantum ESPRESSO input:
```
&SYSTEM
  ibrav = 0, nat = 4, ntyp = 3
/
ATOMIC_SPECIES
Pt 195.08 Pt.upf
Sc 44.96 Sc.upf
Si 28.09 Si.upf
CELL_PARAMETERS angstrom
-4.7777 1.8076 -2.5792
-5.1696 -1.4363 -1.9894
-3.2208 0.9080 2.8543
ATOMIC_POSITIONS crystal
Pt 0.2305 0.2305 0.2694
Sc 0.9769 0.9769 0.0230
Sc 0.7523 0.7523 0.7476
Si 0.5403 0.5403 0.4599
```

---

# 5
# ScSi2Pt

An optimized crystal structure of ScSi2Pt (PBE-GGA, Alexandria via LeMat-Bulk). Values from VASP.

Summary:
- DOS(E_F): 0.34 states/eV per atom
- Uncorrected energy: -25.7 eV per formula unit
- V: 62.13 Å³/cell

Geometry as Quantum ESPRESSO input:
```
&SYSTEM
  ibrav = 0, nat = 4, ntyp = 3
/
ATOMIC_SPECIES
Pt 195.08 Pt.upf
Sc 44.96 Sc.upf
Si 28.09 Si.upf
CELL_PARAMETERS angstrom
-3.7620 1.3360 -0.5494
-0.9361 -3.4222 -1.9124
-1.0445 -1.5732 3.3266
ATOMIC_POSITIONS crystal
Pt 0.5000 0.0000 0.5000
Sc 0.0000 0.5000 0.5000
Si 0.0000 0.0000 0.0000
Si 0.5000 0.5000 0.0000
```

---

# 6
# ScSi2Pt

An optimized crystal structure of ScSi2Pt (PBE-GGA, Alexandria via LeMat-Bulk). Values from VASP.

Summary:
- DOS(E_F): 0.64 states/eV per atom
- Uncorrected energy: -25.4 eV per formula unit
- V: 64.69 Å³/cell

Geometry as Quantum ESPRESSO input:
```
&SYSTEM
  ibrav = 0, nat = 4, ntyp = 3
/
ATOMIC_SPECIES
Pt 195.08 Pt.upf
Sc 44.96 Sc.upf
Si 28.09 Si.upf
CELL_PARAMETERS angstrom
-1.2845 2.9609 0.4193
-2.8925 -1.1138 -0.9962
-1.4304 -1.4361 5.7591
ATOMIC_POSITIONS crystal
Pt 0.0000 0.0000 0.4420
Sc 0.5000 0.5000 0.7658
Si 0.0000 0.0000 0.0293
Si 0.5000 0.5000 0.2629
```

---

# 7
# ScSi2Pt

An optimized crystal structure of ScSi2Pt (PBE-GGA, Alexandria via LeMat-Bulk). Values from VASP.

Summary:
- DOS(E_F): 0.51 states/eV per atom
- Uncorrected energy: -24.9 eV per formula unit
- V: 63.33 Å³/cell

Geometry as Quantum ESPRESSO input:
```
&SYSTEM
  ibrav = 0, nat = 4, ntyp = 3
/
ATOMIC_SPECIES
Pt 195.08 Pt.upf
Sc 44.96 Sc.upf
Si 28.09 Si.upf
CELL_PARAMETERS angstrom
-0.5325 -2.8598 0.7478
2.2592 0.0965 1.9777
-4.4555 2.1332 4.9854
ATOMIC_POSITIONS crystal
Pt 0.5000 0.5000 0.2500
Sc 0.5000 0.5000 0.7500
Si 0.0000 0.0000 0.0233
Si 0.0000 0.0000 0.4767
```

---

# 8
# Sc3Si2Pt7

An optimized crystal structure of Sc3Si2Pt7 (PBE-GGA, Alexandria via LeMat-Bulk). Values from VASP.

Summary:
- DOS(E_F): 0.45 states/eV per atom
- Uncorrected energy: -83.6 eV per formula unit
- V: 216.23 Å³/cell

Geometry as Quantum ESPRESSO input:
```
&SYSTEM
  ibrav = 0, nat = 12, ntyp = 3
/
ATOMIC_SPECIES
Sc 44.96 Sc.upf
Si 28.09 Si.upf
Pt 195.08 Pt.upf
CELL_PARAMETERS angstrom
-3.1700 -0.6759 2.1459
1.3919 -3.6172 0.9168
5.7473 7.1253 10.7346
ATOMIC_POSITIONS crystal
Sc 0.5000 0.5000 0.0000
Sc 0.5000 0.7046 0.4093
Sc 0.5000 0.2954 0.5907
Si 0.0000 0.9160 0.8321
Si 0.0000 0.0840 0.1679
Pt 0.0000 0.3664 0.7328
Pt 0.0000 0.7864 0.5728
Pt 0.0000 0.0000 0.0000
Pt 0.0000 0.6336 0.2672
Pt 0.5000 0.1338 0.2677
Pt 0.5000 0.8662 0.7323
Pt 0.0000 0.2136 0.4272
```

---

# 9
# Sc2SiPt2

An optimized crystal structure of Sc2SiPt2 (PBE-GGA, Alexandria via LeMat-Bulk). Values from VASP.

Summary:
- DOS(E_F): 0.62 states/eV per atom
- Uncorrected energy: -34.9 eV per formula unit
- V: 180.44 Å³/cell

Geometry as Quantum ESPRESSO input:
```
&SYSTEM
  ibrav = 0, nat = 10, ntyp = 3
/
ATOMIC_SPECIES
Sc 44.96 Sc.upf
Si 28.09 Si.upf
Pt 195.08 Pt.upf
CELL_PARAMETERS angstrom
7.1243 0.0000 0.0000
0.0000 7.1243 0.0000
0.0000 0.0000 3.5550
ATOMIC_POSITIONS crystal
Sc 0.1684 0.6684 0.5000
Sc 0.6684 0.8316 0.5000
Sc 0.8316 0.3316 0.5000
Sc 0.3316 0.1684 0.5000
Si 0.0000 0.0000 0.0000
Si 0.5000 0.5000 0.0000
Pt 0.3621 0.8621 0.0000
Pt 0.8621 0.6379 0.0000
Pt 0.6379 0.1379 0.0000
Pt 0.1379 0.3621 0.0000
```

---

# 10
# Sc2SiPt

An optimized crystal structure of Sc2SiPt (PBE-GGA, Alexandria via LeMat-Bulk). Values from VASP.

Summary:
- DOS(E_F): 0.61 states/eV per atom
- Uncorrected energy: -27.7 eV per formula unit
- V: 70.89 Å³/cell

Geometry as Quantum ESPRESSO input:
```
&SYSTEM
  ibrav = 0, nat = 4, ntyp = 3
/
ATOMIC_SPECIES
Pt 195.08 Pt.upf
Sc 44.96 Sc.upf
Si 28.09 Si.upf
CELL_PARAMETERS angstrom
-2.7738 -0.9754 1.2344
-0.2967 -2.4996 -2.6418
2.9645 -4.0283 3.4785
ATOMIC_POSITIONS crystal
Pt 0.5000 0.5000 0.7500
Sc 0.0000 0.0000 0.0050
Sc 0.0000 0.0000 0.4950
Si 0.5000 0.5000 0.2500
```

---

# 11
# Sc2SiPt

An optimized crystal structure of Sc2SiPt (PBE-GGA, Alexandria via LeMat-Bulk). Values from VASP.

Summary:
- DOS(E_F): 1.68 states/eV per atom
- Uncorrected energy: -24.8 eV per formula unit
- V: 91.90 Å³/cell

Geometry as Quantum ESPRESSO input:
```
&SYSTEM
  ibrav = 0, nat = 4, ntyp = 3
/
ATOMIC_SPECIES
Sc 44.96 Sc.upf
Si 28.09 Si.upf
Pt 195.08 Pt.upf
CELL_PARAMETERS angstrom
3.1492 -5.1257 6.9733
6.0694 -3.7068 5.8514
4.0490 -1.9837 8.0304
ATOMIC_POSITIONS crystal
Sc 0.9000 0.9000 0.9000
Sc 0.1000 0.1000 0.1000
Si 0.0000 0.0000 0.0000
Pt 0.5000 0.5000 0.5000
```

---

# 12
# Sc3Si4Pt2

An optimized crystal structure of Sc3Si4Pt2 (PBE-GGA, Alexandria via LeMat-Bulk). Values from VASP.

Summary:
- DOS(E_F): 0.47 states/eV per atom
- Uncorrected energy: -61.5 eV per formula unit
- V: 152.45 Å³/cell

Geometry as Quantum ESPRESSO input:
```
&SYSTEM
  ibrav = 0, nat = 9, ntyp = 3
/
ATOMIC_SPECIES
Sc 44.96 Sc.upf
Si 28.09 Si.upf
Pt 195.08 Pt.upf
CELL_PARAMETERS angstrom
4.1567 0.0000 0.0000
-2.0783 4.9046 -0.2351
0.0000 -2.2943 7.5877
ATOMIC_POSITIONS crystal
Sc 0.6369 0.2738 0.6920
Sc 0.0000 0.0000 0.0000
Sc 0.3631 0.7262 0.3080
Si 0.7271 0.4543 0.0597
Si 0.2729 0.5457 0.9403
Si 0.9070 0.8140 0.5732
Si 0.0930 0.1860 0.4268
Pt 0.6519 0.3038 0.3128
Pt 0.3481 0.6962 0.6872
```